Computed, not measured: Hg2PdBr8 after structural relaxation at the GGA-PBE level of DFT.

The structure in POSCAR format:
```
Hg2PdBr8
1.0
-3.1180 1.9123 4.3385
3.2661 -6.5198 1.5100
7.8954 9.9996 1.2667
Hg Pd Br
2 1 8
Direct
0.8571 0.7142 0.6188 Hg
0.1429 0.2858 0.3812 Hg
0.0000 0.0000 0.0000 Pd
0.9072 0.3138 0.1056 Br
0.4066 0.3138 0.1056 Br
0.0928 0.6862 0.8944 Br
0.3420 0.6840 0.4731 Br
0.5934 0.6862 0.8944 Br
0.9475 0.8950 0.2766 Br
0.0525 0.1050 0.7234 Br
0.6580 0.3160 0.5269 Br
```

Computed properties:
The energy above the most stable polymorph in this dataset is 0.53 eV per formula unit. The value obtained for the density of states at the Fermi level is 3.11 states/eV/f.u.



Computed, not measured: HgPdBr2 after structural relaxation at the GGA-PBE level of DFT.

The structure in POSCAR format:
```
HgPdBr2
1.0
2.2365 0.0000 10.3932
-1.1182 1.9368 10.3932
-1.1182 -1.9368 10.3932
Br Hg Pd
2 1 1
Direct
0.8805 0.8805 0.8805 Br
0.1195 0.1195 0.1195 Br
0.0000 0.0000 0.0000 Hg
0.5000 0.5000 0.5000 Pd
```

Computed properties:
The energy above the most stable polymorph in this dataset is 0.22 eV per formula unit. The value obtained for the density of states at the Fermi level is 0.00 states/eV/f.u.



Computed, not measured: HgPd2Br after structural relaxation at the GGA-PBE level of DFT.

The structure in POSCAR format:
```
HgPd2Br
1.0
3.1622 2.2350 2.7578
-1.4917 2.7459 3.5826
0.6430 -1.4023 4.4967
Br Hg Pd
1 1 2
Direct
0.0000 0.0000 0.0000 Br
0.5000 0.5000 0.5000 Hg
0.2500 0.2500 0.2500 Pd
0.7500 0.7500 0.7500 Pd
```

Computed properties:
The energy above the most stable polymorph in this dataset is 0.00 eV per formula unit. The value obtained for the density of states at the Fermi level is 2.74 states/eV/f.u.



Computed, not measured: HgPd2Br2 after structural relaxation at the GGA-PBE level of DFT.

The structure in POSCAR format:
```
HgPd2Br2
1.0
5.2890 0.0000 0.0000
0.0000 5.2890 0.0000
2.6445 2.6445 5.6968
Br Hg Pd
2 1 2
Direct
0.7500 0.2500 0.5000 Br
0.2500 0.7500 0.5000 Br
0.0000 0.0000 0.0000 Hg
0.2393 0.2393 0.5214 Pd
0.7607 0.7607 0.4786 Pd
```

Computed properties:
The energy above the most stable polymorph in this dataset is 0.00 eV per formula unit. The value obtained for the density of states at the Fermi level is 5.15 states/eV/f.u.



Computed, not measured: Hg2PdBr8 after structural relaxation at the GGA-PBE level of DFT.

The structure in POSCAR format:
```
Hg2PdBr8
1.0
6.8317 -0.1296 -0.1077
-0.1545 8.1205 1.5721
-0.1545 3.0303 7.6962
Hg Pd Br
2 1 8
Direct
0.4475 0.1689 0.1689 Hg
0.5525 0.8311 0.8311 Hg
0.0000 0.0000 0.0000 Pd
0.7667 0.1626 0.7135 Br
0.2333 0.2865 0.8374 Br
0.8456 0.1546 0.1546 Br
0.1544 0.8454 0.8454 Br
0.7667 0.7135 0.1626 Br
0.2333 0.8374 0.2865 Br
0.4376 0.3457 0.3457 Br
0.5624 0.6543 0.6543 Br
```

Computed properties:
The energy above the most stable polymorph in this dataset is 0.00 eV per formula unit.



Computed, not measured: HgPd2Br2 after structural relaxation at the GGA-PBE level of DFT.

The structure in POSCAR format:
```
HgPd2Br2
1.0
3.8950 0.0000 0.0000
0.0000 3.8950 0.0000
1.9475 1.9475 8.1597
Br Hg Pd
2 1 2
Direct
0.3680 0.3680 0.2640 Br
0.6320 0.6320 0.7360 Br
0.0000 0.0000 0.0000 Hg
0.7500 0.2500 0.5000 Pd
0.2500 0.7500 0.5000 Pd
```

Computed properties:
The energy above the most stable polymorph in this dataset is 0.56 eV per formula unit. The value obtained for the density of states at the Fermi level is 12.01 states/eV/f.u.



Computed, not measured: Hg2PdBr after structural relaxation at the GGA-PBE level of DFT.

The structure in POSCAR format:
```
Hg2PdBr
1.0
5.0853 0.0000 0.0000
0.0000 5.0853 0.0000
2.5427 2.5427 8.9681
Br Hg Pd
2 4 2
Direct
0.5000 0.5000 0.0000 Br
0.2500 0.7500 0.5000 Br
0.7165 0.1250 0.2500 Hg
0.0335 0.6250 0.2500 Hg
0.3750 0.2835 0.7500 Hg
0.8750 0.9665 0.7500 Hg
0.0000 0.0000 0.0000 Pd
0.7500 0.2500 0.5000 Pd
```

Computed properties:
The energy above the most stable polymorph in this dataset is 0.00 eV per formula unit. The value obtained for the density of states at the Fermi level is 1.88 states/eV/f.u.



Computed, not measured: HgPd2Br after structural relaxation at the GGA-PBE level of DFT.

The structure in POSCAR format:
```
HgPd2Br
1.0
-2.7770 2.4153 2.8832
-3.7611 -1.7940 -2.1198
-3.2491 -6.0932 5.7656
Br Hg Pd
2 2 4
Direct
0.5000 0.5000 0.0000 Br
0.2500 0.7500 0.5000 Br
0.0000 0.0000 0.0000 Hg
0.7500 0.2500 0.5000 Hg
0.5650 0.1250 0.2500 Pd
0.1850 0.6250 0.2500 Pd
0.3750 0.4350 0.7500 Pd
0.8750 0.8150 0.7500 Pd
```

Computed properties:
The energy above the most stable polymorph in this dataset is 0.18 eV per formula unit. The value obtained for the density of states at the Fermi level is 5.25 states/eV/f.u.



Computed, not measured: RbHgPdBr5 after structural relaxation at the GGA-PBE level of DFT.

The structure in POSCAR format:
```
RbHgPdBr5
1.0
8.3078 0.5982 0.8347
-1.8530 8.1205 0.8347
-1.6627 -2.2459 8.4064
Rb Hg Pd Br
2 2 2 10
Direct
0.3819 0.6181 0.2500 Rb
0.6181 0.3819 0.7500 Rb
0.7120 0.2880 0.2500 Hg
0.2880 0.7120 0.7500 Hg
0.0000 0.0000 0.5000 Pd
0.0000 0.0000 0.0000 Pd
0.0872 0.9128 0.2500 Br
0.9128 0.0872 0.7500 Br
0.9919 0.2831 0.1096 Br
0.0081 0.7169 0.8904 Br
0.7169 0.0081 0.3904 Br
0.2831 0.9919 0.6096 Br
0.7581 0.5519 0.4446 Br
0.2419 0.4481 0.5554 Br
0.4481 0.2419 0.0554 Br
0.5519 0.7581 0.9446 Br
```



Computed, not measured: Rb2Hg2PdBr8 after structural relaxation at the GGA-PBE level of DFT.

The structure in POSCAR format:
```
Rb2Hg2PdBr8
1.0
7.1483 -0.0081 -0.0722
3.2773 6.3528 -0.0722
2.9924 1.8211 10.1403
Rb Hg Pd Br
2 2 1 8
Direct
0.6049 0.6049 0.1647 Rb
0.3951 0.3951 0.8353 Rb
0.8683 0.8683 0.3846 Hg
0.1317 0.1317 0.6154 Hg
0.0000 0.0000 0.0000 Pd
0.6546 0.6546 0.4904 Br
0.1040 0.6345 0.1306 Br
0.9164 0.9164 0.6923 Br
0.0836 0.0836 0.3077 Br
0.3454 0.3454 0.5096 Br
0.8960 0.3655 0.8694 Br
0.3655 0.8960 0.8694 Br
0.6345 0.1040 0.1306 Br
```



Computed, not measured: Rb3Hg2PdBr9 after structural relaxation at the GGA-PBE level of DFT.

The structure in POSCAR format:
```
Rb3Hg2PdBr9
1.0
7.7896 0.0000 0.0000
-3.8948 6.7460 0.0000
0.0000 0.0000 9.6253
Rb Hg Pd Br
3 2 1 9
Direct
0.3333 0.6667 0.6683 Rb
0.0000 0.0000 0.0000 Rb
0.6667 0.3333 0.3317 Rb
0.3333 0.6667 0.1760 Hg
0.6667 0.3333 0.8240 Hg
0.0000 0.0000 0.5000 Pd
0.8408 0.1592 0.6541 Br
0.8408 0.6816 0.6541 Br
0.3184 0.1592 0.6541 Br
0.6816 0.8408 0.3459 Br
0.1592 0.3184 0.3459 Br
0.1592 0.8408 0.3459 Br
0.5000 0.0000 0.0000 Br
0.0000 0.5000 0.0000 Br
0.5000 0.5000 0.0000 Br
```

Computed properties:
The value obtained for the density of states at the Fermi level is 3.59 states/eV/f.u.



Computed, not measured: Rb2HgPdBr6 after structural relaxation at the GGA-PBE level of DFT.

The structure in POSCAR format:
```
Rb2HgPdBr6
1.0
-0.4137 -5.9707 4.8837
7.4014 1.0701 1.9352
1.9507 0.9474 7.4327
Rb Br Hg Pd
2 6 1 1
Direct
0.7500 0.2500 0.5000 Rb
0.2500 0.7500 0.5000 Rb
0.2652 0.2652 0.4697 Br
0.7348 0.7348 0.5303 Br
0.2605 0.2605 0.0000 Br
0.7395 0.7395 0.0000 Br
0.7395 0.2605 0.0000 Br
0.2605 0.7395 0.0000 Br
0.0000 0.0000 0.0000 Hg
0.5000 0.5000 0.0000 Pd
```

Computed properties:
The value obtained for the density of states at the Fermi level is 2.26 states/eV/f.u.



VASP energy (eV per cell)
-21.95 -9.28 -11.76 -13.98 -22.48 -13.42 -14.20 -23.15 -40.95 -32.02 -37.40 -26.55